1.
Here is crystalline NdPuIr2 at its relaxed geometry from the Alexandria database. Energies are from PBE.

## Properties
The energy of formation is -0.513 eV/atom. The value obtained for the total energy is -9.72 eV per atom. Its space group is Amm2, No. 38. Its magnetization is 4.73 μB/cell.

abc: 3.9444 4.1201 5.8384
angles: 90.00 109.71 90.00
Last column: nearest neighbours and their distance in Å.
Sites, in units of the cell vectors:
Nd 0.7273 0.0000 0.9939  7 Ir 2.93-3.23
Pu 0.4435 0.5000 0.4259  7 Ir 2.91-3.14
Ir 0.1651 0.5000 0.8697  2 Ir 2.79, 4 Nd 2.93, 1 Pu 3.06
Ir 0.9951 0.0000 0.5285  2 Ir 2.79, 4 Pu 2.91, 1 Nd 2.94



2.
Here is crystalline Nd3PuIr8 at its relaxed geometry from the Alexandria database. Energies are from PBE.

## Properties
The energy of formation is -0.651 eV/atom. The value obtained for the total energy is -8.94 eV per atom. Its space group is R3m, No. 160. Its magnetization is 4.70 μB/cell.

abc: 5.4239 5.4239 9.3832
angles: 73.20 73.20 60.00
Last column: nearest neighbours and their distance in Å.
Sites, in units of the cell vectors:
Nd 0.3749 0.3749 0.8754  12 Ir 3.18-3.20, 4 Nd 3.32-3.33
Nd 0.9995 0.9995 0.0014  12 Ir 3.18-3.21, 1 Pu 3.30, 3 Nd 3.32
Nd 0.5004 0.5004 0.4988  12 Ir 3.14-3.18, 3 Pu 3.32, 1 Nd 3.33
Pu 0.8753 0.8753 0.3741  12 Ir 3.16-3.18, 4 Nd 3.30-3.32
Ir 0.9349 0.4373 0.1905  6 Ir 2.69-2.73
Ir 0.4405 0.9374 0.6847  6 Ir 2.69-2.73
Ir 0.4373 0.4373 0.1905  6 Ir 2.69-2.73
Ir 0.9374 0.9374 0.6847  6 Ir 2.69-2.73
Ir 0.1876 0.1876 0.4373  6 Ir 2.69-2.70
Ir 0.6875 0.6875 0.9375  6 Ir 2.72-2.73
Ir 0.4373 0.9349 0.1905  6 Ir 2.69-2.73
Ir 0.9374 0.4405 0.6847  6 Ir 2.69-2.73



3.
Here is crystalline NdPuIr4 at its relaxed geometry from the Alexandria database. Energies are from PBE.

## Properties
The energy of formation is -0.609 eV/atom. The value obtained for the total energy is -9.70 eV per atom. Its space group is F-43m, No. 216. Its magnetization is 4.76 μB/cell.

abc: 5.4028 5.4028 5.4028
angles: 60.00 60.00 60.00
Last column: nearest neighbours and their distance in Å.
Sites, in units of the cell vectors:
Ir 0.6253 0.6252 0.1242  6 Ir 2.70-2.71
Ir 0.6253 0.1242 0.6252  6 Ir 2.70-2.71
Ir 0.6253 0.6252 0.6252  6 Ir 2.70-2.71
Ir 0.1242 0.6252 0.6252  6 Ir 2.70-2.71
Nd 0.2500 0.2500 0.2500  12 Ir 3.17, 4 Pu 3.31
Pu 0.0000 0.0000 0.0000  12 Ir 3.17, 4 Nd 3.31



Question: Which of these has the lowest magnetization?
Answer: Nd3PuIr8